Zr2AsCl (PBE, relaxed); total DFT energy (no corrections) = -6.521 eV per atom; total magnetic moment = 0.00 μB per formula unit; space group = P4mm (99); formation energy (no corrections) = -622.7 meV per atom
1.0
-0.145 1.298 -2.856
1.341 -2.559 -1.231
-8.842 -3.979 -1.359
As Zr Cl
1 2 1
Direct
0.000 0.000 0.440
0.000 0.000 0.992
0.500 0.500 0.238
0.500 0.500 0.829


Zr2AsCl (PBE, relaxed); total DFT energy (no corrections) = -6.472 eV per atom; total magnetic moment = 0.00 μB per formula unit; space group = C2/m (12); formation energy (no corrections) = -573.7 meV per atom
1.0
5.259 0.016 0.001
-0.956 5.171 0.001
0.765 0.922 2.942
As Zr Cl
1 2 1
Direct
0.500 0.000 0.500
0.000 0.000 0.000
0.500 0.500 0.000
0.000 0.500 0.500


Zr2AsCl (PBE, relaxed); total DFT energy (no corrections) = -6.703 eV per atom; total magnetic moment = 0.00 μB per formula unit; space group = Pmmm (47); formation energy (no corrections) = -804.8 meV per atom
1.0
3.365 0.000 0.000
0.000 3.445 -0.054
0.000 0.120 7.320
As Zr Cl
1 2 1
Direct
0.500 0.250 0.250
0.000 0.750 0.046
0.000 0.750 0.454
0.500 0.750 0.750


Zr2AsCl (PBE, relaxed); total DFT energy (no corrections) = -6.682 eV per atom; total magnetic moment = 0.00 μB per formula unit; space group = P4/mmm (123); formation energy (no corrections) = -783.8 meV per atom
1.0
-2.308 -2.423 0.023
2.358 -2.252 -0.753
1.141 -1.024 6.630
As Zr Cl
1 2 1
Direct
0.500 0.500 0.250
0.000 0.000 0.024
0.000 0.000 0.476
0.500 0.500 0.750


Zr2As2Cl (PBE, relaxed); total DFT energy (no corrections) = -6.733 eV per atom; total magnetic moment = 0.00 μB per formula unit; space group = P4/mbm (127); formation energy (no corrections) = -1084.7 meV per atom
1.0
7.473 0.000 0.000
0.000 7.473 0.000
0.000 0.000 3.578
As Zr Cl
4 4 2
Direct
0.139 0.639 0.500
0.639 0.861 0.500
0.861 0.361 0.500
0.361 0.139 0.500
0.347 0.847 0.000
0.847 0.653 0.000
0.653 0.153 0.000
0.153 0.347 0.000
0.000 0.000 0.000
0.500 0.500 0.000


Zr2AsCl (PBE, relaxed); total DFT energy (no corrections) = -6.736 eV per atom; total magnetic moment = 0.00 μB per formula unit; space group = P4mm (99); formation energy (no corrections) = -837.5 meV per atom
1.0
-1.300 -2.420 2.338
-1.191 -2.013 -2.746
5.518 -3.089 -0.129
As Zr Cl
1 2 1
Direct
0.000 0.000 0.435
0.000 0.000 0.974
0.500 0.500 0.310
0.500 0.500 0.782


ZrAs4Cl (PBE, relaxed); total DFT energy (no corrections) = -4.812 eV per atom; total magnetic moment = 0.00 μB per formula unit; space group = F-43m (216); formation energy (no corrections) = 19.8 meV per atom
1.0
0.000 3.920 3.920
3.920 0.000 3.920
3.920 3.920 0.000
Zr As Cl
1 4 1
Direct
0.000 0.000 0.000
0.875 0.375 0.375
0.375 0.375 0.875
0.375 0.875 0.375
0.375 0.375 0.375
0.750 0.750 0.750


Zr2AsCl (PBE, relaxed); total DFT energy (no corrections) = -6.688 eV per atom; total magnetic moment = 0.00 μB per formula unit; space group = P1 (1); formation energy (no corrections) = -789.6 meV per atom
1.0
-5.074 -1.846 0.666
-3.010 -3.457 -4.279
5.256 0.892 3.914
As Zr Cl
1 2 1
Direct
0.449 0.545 0.947
0.909 0.020 0.962
0.841 0.284 0.631
0.301 0.651 0.460


Zr2AsCl (PBE, relaxed); total DFT energy (no corrections) = -6.584 eV per atom; total magnetic moment = 0.00 μB per formula unit; space group = P2/m (10); formation energy (no corrections) = -685.9 meV per atom
1.0
-1.945 -2.028 2.071
4.852 -1.595 2.996
2.785 1.870 4.448
As Zr Cl
1 2 1
Direct
0.500 0.500 0.500
0.000 0.000 0.000
0.500 0.500 0.000
0.000 0.000 0.500


Zr2AsCl (PBE, relaxed); total DFT energy (no corrections) = -6.562 eV per atom; total magnetic moment = 0.00 μB per formula unit; space group = R3m (160); formation energy (no corrections) = -664.1 meV per atom
1.0
10.478 0.027 0.016
9.941 3.311 0.016
9.941 1.625 2.885
As Zr Cl
1 2 1
Direct
0.518 0.518 0.518
0.001 0.001 0.001
0.255 0.255 0.255
0.726 0.726 0.726


ZrAsCl3 (PBE, relaxed); total DFT energy (no corrections) = -4.370 eV per atom; total magnetic moment = 2.97 μB per formula unit; E above lowest polymorph = 0.0 meV per atom; space group = Pm-3m (221); formation energy (no corrections) = -622.8 meV per atom
1.0
5.115 0.000 0.000
0.000 5.115 0.000
0.000 0.000 5.115
As Zr Cl
1 1 3
Direct
0.500 0.500 0.500
0.000 0.000 0.000
0.000 0.500 0.000
0.000 0.000 0.500
0.500 0.000 0.000


Zr3AsCl (PBE, relaxed); total DFT energy (no corrections) = -6.410 eV per atom; total magnetic moment = 0.00 μB per formula unit; E above lowest polymorph = 0.0 meV per atom; space group = Pm-3m (221); formation energy (no corrections) = 18.5 meV per atom
1.0
-1.485 4.513 0.232
-4.431 -1.407 -1.004
-0.884 -0.530 4.644
As Zr Cl
1 3 1
Direct
0.500 0.500 0.500
0.000 0.500 0.000
0.000 0.000 0.500
0.500 0.000 0.000
0.000 0.000 0.000


Zr2AsCl (PBE, relaxed); total DFT energy (no corrections) = -6.670 eV per atom; total magnetic moment = 0.00 μB per formula unit; space group = Pm (6); formation energy (no corrections) = -771.9 meV per atom
1.0
4.112 0.000 0.000
0.000 3.472 -0.122
0.000 1.979 5.398
As Zr Cl
1 2 1
Direct
0.000 0.716 0.434
0.000 0.992 0.874
0.500 0.277 0.319
0.500 0.514 0.873


Zr2AsCl (PBE, relaxed); total DFT energy (no corrections) = -6.551 eV per atom; total magnetic moment = 0.00 μB per formula unit; space group = Cmm2 (35); formation energy (no corrections) = -653.2 meV per atom
1.0
3.188 -0.033 0.000
-0.771 3.093 0.000
0.000 0.000 9.840
As Zr Cl
1 2 1
Direct
0.000 0.000 0.437
0.000 0.000 0.998
0.500 0.500 0.245
0.500 0.500 0.820


Zr2AsCl (PBE, relaxed); total DFT energy (no corrections) = -6.387 eV per atom; total magnetic moment = 0.00 μB per formula unit; space group = I-4m2 (119); formation energy (no corrections) = -488.6 meV per atom
1.0
-2.063 2.917 -5.430
-0.129 -1.966 -6.194
-1.325 -1.493 6.185
As Zr Cl
1 2 1
Direct
0.500 0.500 0.000
0.000 0.000 0.000
0.250 0.750 0.500
0.750 0.250 0.500


Zr2AsCl (PBE, relaxed); total DFT energy (no corrections) = -6.435 eV per atom; total magnetic moment = 0.00 μB per formula unit; space group = Pmmm (47); formation energy (no corrections) = -537.2 meV per atom
1.0
3.517 0.000 0.000
0.000 5.731 0.000
0.000 0.000 4.085
As Zr Cl
1 2 1
Direct
0.500 0.000 0.500
0.000 0.000 0.000
0.500 0.500 0.000
0.000 0.500 0.500


Zr2AsCl (PBE, relaxed); total DFT energy (no corrections) = -6.277 eV per atom; total magnetic moment = 0.00 μB per formula unit; space group = I-42d (122); formation energy (no corrections) = -378.6 meV per atom
1.0
4.784 0.000 0.000
0.000 4.784 0.000
2.392 2.392 8.202
As Zr Cl
2 4 2
Direct
0.000 0.000 0.000
0.750 0.250 0.500
0.622 0.125 0.250
0.128 0.625 0.250
0.375 0.378 0.750
0.875 0.872 0.750
0.500 0.500 0.000
0.250 0.750 0.500


Zr2AsCl (PBE, relaxed); total DFT energy (no corrections) = -5.799 eV per atom; total magnetic moment = 2.08 μB per formula unit; space group = F-43m (216); formation energy (no corrections) = 99.6 meV per atom
1.0
4.906 0.000 0.000
2.453 4.248 0.000
2.453 1.416 4.005
As Zr Cl
1 2 1
Direct
0.500 0.500 0.500
0.000 0.000 0.000
0.250 0.250 0.250
0.750 0.750 0.750


Zr4AsCl (PBE, relaxed); total DFT energy (no corrections) = -6.479 eV per atom; total magnetic moment = 0.00 μB per formula unit; space group = F-43m (216); formation energy (no corrections) = 302.7 meV per atom
1.0
2.478 1.005 5.116
-1.460 -3.183 4.589
3.752 -3.803 2.187
Zr As Cl
4 1 1
Direct
0.129 0.624 0.624
0.624 0.624 0.624
0.624 0.129 0.624
0.624 0.624 0.129
0.250 0.250 0.250
0.000 0.000 0.000


Zr2AsCl (PBE, relaxed); total DFT energy (no corrections) = -6.736 eV per atom; total magnetic moment = 0.00 μB per formula unit; space group = Fm-3m (225); formation energy (no corrections) = -838.3 meV per atom
1.0
0.000 3.338 3.338
3.338 0.000 3.338
3.338 3.338 0.000
As Zr Cl
1 2 1
Direct
0.500 0.500 0.500
0.250 0.250 0.250
0.750 0.750 0.750
0.000 0.000 0.000